Computed, not measured: a relaxed Ca2La4C crystal at the PBE-GGA level of DFT.

```
data_Ca2La4C
_chemical_formula_sum 'Ca4 La8 C2'
_cell_length_a 5.336
_cell_length_b 5.336
_cell_length_c 18.426
_cell_angle_alpha 90.00
_cell_angle_beta 90.00
_cell_angle_gamma 90.00
_space_group_name_H-M_alt 'I 4/m m m'
_space_group_IT_number 139
_space_group_name_Hall '-I 4 2'
loop_
_atom_site_label
_atom_site_type_symbol
_atom_site_fract_x
_atom_site_fract_y
_atom_site_fract_z
Ca1 Ca 0.000 0.000 0.164
La1 La 0.000 0.000 0.369
La2 La 0.000 0.500 0.000
C1 C 0.000 0.000 0.500
```

Summary:
formation energy from the elements = 0.124 eV/atom

Computed, not measured: a relaxed WC2Cl2 crystal at the PBE-GGA level of DFT.

```
data_WC2Cl2
_chemical_formula_sum 'W2 C4 Cl4'
_cell_length_a 2.761
_cell_length_b 2.761
_cell_length_c 18.936
_cell_angle_alpha 90.00
_cell_angle_beta 90.00
_cell_angle_gamma 90.00
_space_group_name_H-M_alt 'I 4/m m m'
_space_group_IT_number 139
_space_group_name_Hall '-I 4 2'
loop_
_atom_site_label
_atom_site_type_symbol
_atom_site_fract_x
_atom_site_fract_y
_atom_site_fract_z
W1 W 0.000 0.000 0.000
C1 C 0.000 0.500 0.250
Cl1 Cl 0.000 0.000 0.413
```

Summary:
excess energy over the best structure of this formula in the dataset = 0.0 kJ per mole of atoms
formation energy without anion corrections = 1.905 eV/atom

Computed, not measured: a relaxed AlZn2Os crystal at the PBE-GGA level of DFT.

```
data_AlZn2Os
_chemical_formula_sum 'Al2 Zn4 Os2'
_cell_length_a 3.750
_cell_length_b 3.750
_cell_length_c 8.012
_cell_angle_alpha 90.00
_cell_angle_beta 90.00
_cell_angle_gamma 90.00
_space_group_name_H-M_alt 'I -4 m 2'
_space_group_IT_number 119
_space_group_name_Hall 'I -4 -2'
loop_
_atom_site_label
_atom_site_type_symbol
_atom_site_fract_x
_atom_site_fract_y
_atom_site_fract_z
Al1 Al 0.000 0.000 0.000
Zn1 Zn 0.000 0.000 0.500
Zn2 Zn 0.000 0.500 0.250
Os1 Os 0.000 0.500 0.750
```

Summary:
formation energy from the elements = -0.104 eV/atom

Computed, not measured: a relaxed La3CI3 crystal at the PBE-GGA level of DFT.

```
data_La3CI3
_chemical_formula_sum 'La6 C2 I6'
_cell_length_a 9.194
_cell_length_b 4.112
_cell_length_c 12.388
_cell_angle_alpha 90.00
_cell_angle_beta 92.74
_cell_angle_gamma 90.00
_space_group_name_H-M_alt 'P 1 21/m 1'
_space_group_IT_number 11
_space_group_name_Hall '-P 2yb'
loop_
_atom_site_label
_atom_site_type_symbol
_atom_site_fract_x
_atom_site_fract_y
_atom_site_fract_z
La1 La 0.085 0.250 0.397
La2 La 0.113 0.250 0.822
La3 La 0.301 0.750 0.616
C1 C 0.122 0.250 0.618
I1 I 0.148 0.250 0.122
I2 I 0.379 0.750 0.875
I3 I 0.383 0.750 0.363
```

Summary:
excess energy over the best structure of this formula in the dataset = 0.0 kJ per mole of atoms
formation energy without anion corrections = -1.060 eV/atom

Computed, not measured: a relaxed ZrSiSn3 crystal at the PBE-GGA level of DFT.

```
data_ZrSiSn3
_chemical_formula_sum 'Zr1 Si1 Sn3'
_cell_length_a 5.126
_cell_length_b 5.126
_cell_length_c 5.126
_cell_angle_alpha 90.00
_cell_angle_beta 90.00
_cell_angle_gamma 90.00
_space_group_name_H-M_alt 'P m -3 m'
_space_group_IT_number 221
_space_group_name_Hall '-P 4 2 3'
loop_
_atom_site_label
_atom_site_type_symbol
_atom_site_fract_x
_atom_site_fract_y
_atom_site_fract_z
Zr1 Zr 0.000 0.000 0.000
Si1 Si 0.500 0.500 0.500
Sn1 Sn 0.000 0.500 0.500
```

Summary:
excess energy over the best structure of this formula in the dataset = 0.0 kJ per mole of atoms
formation energy without anion corrections = 0.688 eV/atom

Computed, not measured: a relaxed LiMnCrRu crystal at the PBE-GGA level of DFT.

```
data_LiMnCrRu
_chemical_formula_sum 'Li4 Mn4 Cr4 Ru4'
_cell_length_a 5.825
_cell_length_b 5.825
_cell_length_c 5.825
_cell_angle_alpha 90.00
_cell_angle_beta 90.00
_cell_angle_gamma 90.00
_space_group_name_H-M_alt 'F -4 3 m'
_space_group_IT_number 216
_space_group_name_Hall 'F -4 2 3'
loop_
_atom_site_label
_atom_site_type_symbol
_atom_site_fract_x
_atom_site_fract_y
_atom_site_fract_z
Li1 Li 0.000 0.000 0.000
Mn1 Mn 0.250 0.250 0.750
Cr1 Cr 0.000 0.000 0.500
Ru1 Ru 0.250 0.250 0.250
```

Summary:
formation energy from the elements = 0.128 eV/atom

Computed, not measured: a relaxed Li2CdOs crystal at the PBE-GGA level of DFT.

```
data_Li2CdOs
_chemical_formula_sum 'Li6 Cd3 Os3'
_cell_length_a 2.7741
_cell_length_b 2.7741
_cell_length_c 29.2968
_cell_angle_alpha 90.00
_cell_angle_beta 90.00
_cell_angle_gamma 120.00
_space_group_name_H-M_alt 'R 3 m'
_space_group_IT_number 160
_space_group_name_Hall 'R 3 -2"'
loop_
_atom_site_label
_atom_site_type_symbol
_atom_site_fract_x
_atom_site_fract_y
_atom_site_fract_z
Li1 Li 0.0000 0.0000 0.0000
Li2 Li 0.0000 0.0000 0.2452
Cd1 Cd 0.0000 0.0000 0.7495
Os1 Os 0.0000 0.0000 0.5043
```

Summary:
formation energy from the elements = 0.210 eV/atom